No. 1
Here is NbReC3 at its PBEsol-relaxed geometry from the Alexandria database. Energies are from meta-GGA SCAN.

Values from the calculation:
- SG: Pm-3m
- Calculated total energy: -24.124 eV per atom
- D(E_F): 0.69 states/eV/atom

Unit cell a=4.034 b=4.034 c=4.034 alpha=90.00 beta=90.00 gamma=90.00
Last column: magnetic moment on the atom in μB.
Positions (direct):
1 Re 0.500 0.500 0.500  -2.35
2 Nb 0.000 0.000 0.000  0.02
3 C 0.000 0.500 0.000  0.15
4 C 0.000 0.000 0.500  0.15
5 C 0.500 0.000 0.000  0.15

No. 2
Here is Nb3RhC at its PBEsol-relaxed geometry from the Alexandria database. Energies are from meta-GGA SCAN.

Values from the calculation:
- SG: Pm-3m
- Calculated total energy: -28.871 eV per atom
- D(E_F): 0.90 states/eV/atom

Unit cell a=4.233 b=4.233 c=4.233 alpha=90.00 beta=90.00 gamma=90.00
Positions (direct):
1 Nb 0.000 0.500 0.000
2 Nb 0.000 0.000 0.500
3 Nb 0.500 0.000 0.000
4 Rh 0.500 0.500 0.500
5 C 0.000 0.000 0.000